Entry 1:
DFT (PBE) results for Rb2Na2H4Pt after structural relaxation.

Summary:
- E_tot (eV per atom) = -2.843

Lattice parameters (Å, degrees): 7.0119 7.0119 8.3664 90.00 90.00 90.00
Space group I4/mmm (No. 139)
Asymmetric unit:
Rb1 0.0000 0.5000 0.2500 x4
Na1 0.0000 0.0000 0.1743 x4
H1 0.1691 0.1691 0.5000 x8
Pt1 0.0000 0.0000 0.5000 x2

=====

Entry 2:
DFT (PBE) results for Rb2NaH4Pt after structural relaxation.

Summary:
- E_tot (eV per atom) = -3.067

Lattice parameters (Å, degrees): 5.6716 12.0917 22.6927 90.00 90.00 90.00
Space group Fddd (No. 70, origin choice 2)
Asymmetric unit:
Rb1 0.1250 0.1250 0.2999 x16
Na1 0.1250 0.1250 0.1250 x8
H1 0.0647 0.3733 0.8187 x32
Pt1 0.1250 0.1250 0.6250 x8

=====

Number 1: N(E_F) 0.0998 states/eV per atom, volume 411.35 Å³ per cell. Number 2: N(E_F) 0.1576 states/eV per atom, volume 1556.24 Å³ per cell.